Here is an optimized crystal structure of PdSN2O from the Alexandria database. Energies are from PBE.

It has space group P4/mmm (No. 123), with a = 3.8009 Å, b = 3.8009 Å, c = 3.3559 Å, α = 90.00°, β = 90.00° and γ = 90.00°. The asymmetric unit holds Pd at (0.0000, 0.0000, 0.0000), S at (0.5000, 0.5000, 0.5000), N at (0.0000, 0.5000, 0.5000) and O at (0.5000, 0.5000, 0.0000).

For the volume, the calculation gives 9.7 Å³/atom. The uncorrected formation energy comes out at 1.447 eV per atom. The total energy comes out at -23.69 eV/f.u. The calculation puts the density of states at the Fermi level at 3.1 states/eV/cell.